1.
PtRh | PBEsol | optimized geometry

The space group is P6_3/mmc (No. 194) and the conventional cell measures 3.8426, 3.8426 and 5.2316 Å, with angles of 90.00, 90.00 and 120.00 degrees. The asymmetric unit holds Pt at (0.0000, 0.0000, 0.0000) and Rh at (0.3333, 0.6667, 0.2500).

Its formation energy is 13.43 kcal/mol of atoms. The density of states at the Fermi level comes out at 1.4288 states/eV per atom.



2.
Pt3Rh | PBEsol | optimized geometry

The space group is I4/mmm (No. 139) and the conventional cell measures 3.8795, 3.8795 and 7.7509 Å, with angles of 90.00, 90.00 and 90.00 degrees. The asymmetric unit holds Pt at (0.0000, 0.0000, 0.0000), Pt at (0.0000, 0.5000, 0.2500) and Rh at (0.0000, 0.0000, 0.5000).

Its formation energy is -0.25 kcal/mol of atoms. The density of states at the Fermi level comes out at 1.8504 states/eV per atom.



3.
PtRh8 | PBEsol | optimized geometry

The space group is I4/mmm (No. 139) and the conventional cell measures 8.0466, 8.0466 and 3.7857 Å, with angles of 90.00, 90.00 and 90.00 degrees. The asymmetric unit holds Pt at (0.0000, 0.0000, 0.0000), Rh at (0.0000, 0.3354, 0.0000) and Rh at (0.1687, 0.1687, 0.5000).

Its formation energy is -0.24 kcal/mol of atoms. The density of states at the Fermi level comes out at 1.2228 states/eV per atom.